Crystalline HfBeRe at its relaxed geometry, computed with PBE.

E above lowest polymorph ... 0.000 eV/f.u.
Crystal system ... cubic
ρ ... 11.4 Mg/m³

Lattice parameters (Å, degrees): 4.260 4.260 4.260 60.00 60.00 60.00
Atoms (fractional coordinates):
Hf1 0.750 0.750 0.750
Be1 0.250 0.250 0.250
Re1 0.000 0.000 0.000